# 1
Crystalline CoHPd2Ru at its relaxed geometry. Source: Alexandria via LeMat-Bulk, functional PBE-GGA.

a = 3.8695 Å, b = 3.8695 Å, c = 3.9728 Å
α = 90.00°, β = 90.00°, γ = 90.00°
Closest atoms and distances in Å follow each position.
Space group P4/mmm (No. 123)
Unique sites:
Co 0.0000 0.0000 0.0000 [1 per cell]  2 H 1.99
H 0.0000 0.0000 0.5000 [1 per cell]  4 Pd 1.93, 2 Co 1.99
Pd 0.0000 0.5000 0.5000 [2 per cell]  2 H 1.93
Ru 0.5000 0.5000 0.0000 [1 per cell]  4 Co 2.74, 8 Pd 2.77

Properties
Its crystal system is tetragonal.

# 2
Crystalline CoHPd2Ru at its relaxed geometry. Source: Alexandria via LeMat-Bulk, functional PBE-GGA.

a = 3.8777 Å, b = 3.8777 Å, c = 3.9667 Å
α = 90.00°, β = 90.00°, γ = 90.00°
Closest atoms and distances in Å follow each position.
Space group P4/mmm (No. 123)
Unique sites:
Co 0.0000 0.0000 0.0000 [1 per cell]  4 Ru 2.74, 8 Pd 2.77
H 0.5000 0.5000 0.5000 [1 per cell]  4 Pd 1.94, 2 Ru 1.98
Pd 0.0000 0.5000 0.5000 [2 per cell]  2 H 1.94
Ru 0.5000 0.5000 0.0000 [1 per cell]  2 H 1.98

Properties
Its crystal system is tetragonal.

# 3
Crystalline ScCoHPd2 at its relaxed geometry. Source: Alexandria via LeMat-Bulk, functional PBE-GGA.

a = 3.9910 Å, b = 3.9910 Å, c = 3.8973 Å
α = 90.00°, β = 90.00°, γ = 90.00°
Closest atoms and distances in Å follow each position.
Space group P4/mmm (No. 123)
Unique sites:
Sc 0.0000 0.0000 0.0000 [1 per cell]  8 Pd 2.79, 4 Co 2.82
Co 0.5000 0.5000 0.0000 [1 per cell]  2 H 1.95
H 0.5000 0.5000 0.5000 [1 per cell]  2 Co 1.95, 4 Pd 2.00
Pd 0.0000 0.5000 0.5000 [2 per cell]  2 H 2.00

Properties
Its crystal system is tetragonal.

# 4
Crystalline ScCo2HPd at its relaxed geometry. Source: Alexandria via LeMat-Bulk, functional PBE-GGA.

a = 3.8123 Å, b = 3.8123 Å, c = 3.9540 Å
α = 90.00°, β = 90.00°, γ = 90.00°
Closest atoms and distances in Å follow each position.
Space group P4/mmm (No. 123)
Unique sites:
Sc 0.0000 0.0000 0.0000 [1 per cell]  4 Pd 2.70, 8 Co 2.75
Co 0.0000 0.5000 0.5000 [2 per cell]  2 H 1.91
H 0.5000 0.5000 0.5000 [1 per cell]  4 Co 1.91, 2 Pd 1.98
Pd 0.5000 0.5000 0.0000 [1 per cell]  2 H 1.98

Properties
Its crystal system is tetragonal.

# 5
Crystalline Sc2CoHPd at its relaxed geometry. Source: Alexandria via LeMat-Bulk, functional PBE-GGA.

a = 4.5153 Å, b = 4.5153 Å, c = 3.3840 Å
α = 90.00°, β = 90.00°, γ = 90.00°
Closest atoms and distances in Å follow each position.
Space group P4/mmm (No. 123)
Unique sites:
Sc 0.0000 0.5000 0.0000 [2 per cell]  2 H 2.26
Co 0.0000 0.0000 0.5000 [1 per cell]  2 H 1.69
H 0.0000 0.0000 0.0000 [1 per cell]  2 Co 1.69
Pd 0.5000 0.5000 0.5000 [1 per cell]  8 Sc 2.82

Properties
Its crystal system is tetragonal.

# 6
Crystalline Sc2CoHPd at its relaxed geometry. Source: Alexandria via LeMat-Bulk, functional PBE-GGA.

a = 5.0211 Å, b = 5.0211 Å, c = 4.5992 Å
α = 90.00°, β = 90.00°, γ = 90.00°
Closest atoms and distances in Å follow each position.
Space group P4/mmm (No. 123)
Unique sites:
Sc 0.0000 0.5000 0.0000 [2 per cell]  2 Pd 2.51
Co 0.0000 0.0000 0.5000 [1 per cell]  2 Pd 2.30
H 0.5000 0.5000 0.5000 [1 per cell]  8 Sc 3.40, 4 Co 3.55
Pd 0.0000 0.0000 0.0000 [1 per cell]  2 Co 2.30, 4 Sc 2.51

Properties
Its crystal system is tetragonal.

# 7
Crystalline ScCo2HPd at its relaxed geometry. Source: Alexandria via LeMat-Bulk, functional PBE-GGA.

a = 3.7353 Å, b = 3.7353 Å, c = 4.1037 Å
α = 90.00°, β = 90.00°, γ = 90.00°
Closest atoms and distances in Å follow each position.
Space group P4/mmm (No. 123)
Unique sites:
Sc 0.0000 0.0000 0.0000 [1 per cell]  2 H 2.05
Co 0.0000 0.5000 0.5000 [2 per cell]  2 H 1.87
H 0.0000 0.0000 0.5000 [1 per cell]  4 Co 1.87, 2 Sc 2.05
Pd 0.5000 0.5000 0.0000 [1 per cell]  4 Sc 2.64, 8 Co 2.77

Properties
Its crystal system is tetragonal.

# 8
Crystalline CoHPd2Se at its relaxed geometry. Source: Alexandria via LeMat-Bulk, functional PBE-GGA.

a = 4.0566 Å, b = 4.0566 Å, c = 3.8375 Å
α = 90.00°, β = 90.00°, γ = 90.00°
Closest atoms and distances in Å follow each position.
Space group P4/mmm (No. 123)
Unique sites:
Co 0.0000 0.0000 0.0000 [1 per cell]  2 H 1.92
H 0.0000 0.0000 0.5000 [1 per cell]  2 Co 1.92, 4 Pd 2.03
Pd 0.0000 0.5000 0.5000 [2 per cell]  2 H 2.03
Se 0.5000 0.5000 0.0000 [1 per cell]  8 Pd 2.79, 4 Co 2.87

Properties
Its crystal system is tetragonal.

# 9
Crystalline Co2SiHPd at its relaxed geometry. Source: Alexandria via LeMat-Bulk, functional PBE-GGA.

a = 3.6559 Å, b = 3.6559 Å, c = 3.7497 Å
α = 90.00°, β = 90.00°, γ = 90.00°
Closest atoms and distances in Å follow each position.
Space group P4/mmm (No. 123)
Unique sites:
Co 0.0000 0.5000 0.0000 [2 per cell]  2 H 1.83
Si 0.0000 0.0000 0.5000 [1 per cell]  4 Pd 2.59, 8 Co 2.62
H 0.5000 0.5000 0.0000 [1 per cell]  4 Co 1.83, 2 Pd 1.87
Pd 0.5000 0.5000 0.5000 [1 per cell]  2 H 1.87

Properties
Its crystal system is tetragonal.

# 10
Crystalline CoSnHPd2 at its relaxed geometry. Source: Alexandria via LeMat-Bulk, functional PBE-GGA.

a = 3.9949 Å, b = 3.9949 Å, c = 3.9598 Å
α = 90.00°, β = 90.00°, γ = 90.00°
Closest atoms and distances in Å follow each position.
Space group P4/mmm (No. 123)
Unique sites:
Co 0.0000 0.0000 0.0000 [1 per cell]  2 H 1.98
Sn 0.5000 0.5000 0.0000 [1 per cell]  8 Pd 2.81, 4 Co 2.82
H 0.0000 0.0000 0.5000 [1 per cell]  2 Co 1.98, 4 Pd 2.00
Pd 0.0000 0.5000 0.5000 [2 per cell]  2 H 2.00

Properties
Its crystal system is tetragonal.

# 11
Crystalline CoSn2HPd at its relaxed geometry. Source: Alexandria via LeMat-Bulk, functional PBE-GGA.

a = 5.0013 Å, b = 5.0013 Å, c = 3.2215 Å
α = 90.00°, β = 90.00°, γ = 90.00°
Closest atoms and distances in Å follow each position.
Space group P4/mmm (No. 123)
Unique sites:
Co 0.0000 0.0000 0.0000 [1 per cell]  2 H 1.61
Sn 0.0000 0.5000 0.0000 [2 per cell]  2 Co 2.50
H 0.0000 0.0000 0.5000 [1 per cell]  2 Co 1.61
Pd 0.5000 0.5000 0.5000 [1 per cell]  8 Sn 2.97, 2 Pd 3.22

Properties
Its crystal system is tetragonal.

# 12
Crystalline Co2SnHPd at its relaxed geometry. Source: Alexandria via LeMat-Bulk, functional PBE-GGA.

a = 3.8782 Å, b = 3.8782 Å, c = 3.8615 Å
α = 90.00°, β = 90.00°, γ = 90.00°
Closest atoms and distances in Å follow each position.
Space group P4/mmm (No. 123)
Unique sites:
Co 0.0000 0.5000 0.0000 [2 per cell]  2 H 1.94
Sn 0.0000 0.0000 0.5000 [1 per cell]  8 Co 2.74, 4 Pd 2.74
H 0.5000 0.5000 0.0000 [1 per cell]  2 Pd 1.93, 4 Co 1.94
Pd 0.5000 0.5000 0.5000 [1 per cell]  2 H 1.93

Properties
Its crystal system is tetragonal.

no.,electronic total energy (eV/atom)
1,-5.7699
2,-5.8073
3,-5.8838
4,-6.0880
5,-6.2625
6,-4.9313
7,-6.1170
8,-4.7549
9,-5.8017
10,-5.1699
11,-4.6454
12,-5.4195